LaDy2Er | PBE-GGA | relaxed

Cell and atoms, written as POSCAR:
```
LaDy2Er
1.0
-2.976 -3.113 -2.705
4.111 1.077 -5.762
4.071 -5.566 1.926
La Dy Er
2 4 2
Direct
0.250 0.873 0.127
0.750 0.127 0.873
0.750 0.623 0.873
0.750 0.127 0.377
0.250 0.377 0.127
0.250 0.873 0.623
0.250 0.379 0.621
0.750 0.621 0.379
```

Values from the calculation:
- ρ: 8.0 g/cm³
- Density of states at the Fermi level: 1.42 states/eV per atom
- Relative energy among the computed polymorphs: 18.7 meV per atom
- Space-group type: Cmcm



Bi2SbCl | PBE-GGA | relaxed

Cell and atoms, written as POSCAR:
```
Bi2SbCl
1.0
-4.007 -2.240 2.805
-4.712 2.554 0.468
-4.346 -1.884 -2.552
Sb Bi Cl
1 2 1
Direct
0.500 0.500 0.500
0.250 0.250 0.250
0.750 0.750 0.750
0.000 0.000 0.000
```

Values from the calculation:
- Formation energy from raw total energies: -0.075 eV per atom
- ρ: 8.7 g/cm³
- Density of states at the Fermi level: 0.85 states/eV per atom
- Relative energy among the computed polymorphs: 92.2 meV per atom
- Space-group type: Fm-3m